No. 1
Density functional theory data (GGA-PBE) for a relaxed PtPbBr4 crystal.

The value obtained for the energy above the most stable polymorph in this dataset is 0.000 eV/atom. The formation energy without anion corrections comes out at -510 meV per atom. Its crystal system is tetragonal. Its total energy is -3.250 eV per atom.

The space group is I-4 (No. 82) and the conventional cell measures 7.2584, 7.2584 and 7.7472 Å, with angles of 90.00, 90.00 and 90.00 degrees. The distinct sites, in fractional coordinates, are Pt at (0.0000, 0.0000, 0.0000), Pb at (0.0000, 0.5000, 0.2500) and Br at (0.2373, 0.7599, 0.9994).

No. 2
Density functional theory data (GGA-PBE) for a relaxed PtPbBr crystal.

The value obtained for the energy above the most stable polymorph in this dataset is 0.223 eV/atom. The formation energy without anion corrections comes out at 85 meV per atom. Its crystal system is orthorhombic. Its total energy is -3.722 eV per atom.

The space group is Amm2 (No. 38) and the conventional cell measures 12.5540, 3.5944 and 6.9200 Å, with angles of 90.00, 90.00 and 90.00 degrees. The distinct sites, in fractional coordinates, are Pt at (0.0000, 0.0000, 0.0000), Pt at (0.5000, 0.0000, 0.2545), Pb at (0.1460, 0.0000, 0.3155) and Br at (0.3658, 0.0000, 0.9935).

No. 3
Density functional theory data (GGA-PBE) for a relaxed Pt2Pb2Br crystal.

The formation energy without anion corrections comes out at -323 meV per atom. Its crystal system is tetragonal. Its total energy is -4.557 eV per atom.

The space group is I4/mmm (No. 139) and the conventional cell measures 3.9243, 3.9243 and 16.7499 Å, with angles of 90.00, 90.00 and 90.00 degrees. The distinct sites, in fractional coordinates, are Pt at (0.0000, 0.5000, 0.2500), Pb at (0.0000, 0.0000, 0.1241) and Br at (0.0000, 0.0000, 0.5000).

No. 4
Density functional theory data (GGA-PBE) for a relaxed PtPbBr5 crystal.

The formation energy without anion corrections comes out at -515 meV per atom. Its crystal system is monoclinic. Its total energy is -3.102 eV per atom.

The space group is C2/c (No. 15) and the conventional cell measures 9.6721, 10.4927 and 9.9083 Å, with angles of 90.00, 111.36 and 90.00 degrees. The distinct sites, in fractional coordinates, are Pt at (0.2500, 0.2500, 0.0000), Pb at (0.0000, 0.0620, 0.2500), Br at (0.0000, 0.2319, 0.7500), Br at (0.0845, 0.3096, 0.1306) and Br at (0.2221, 0.0217, 0.0546).

No. 5
Density functional theory data (GGA-PBE) for a relaxed PtPbBr2 crystal.

The value obtained for the energy above the most stable polymorph in this dataset is 0.185 eV/atom. The formation energy without anion corrections comes out at -109 meV per atom. Its crystal system is tetragonal. Its total energy is -3.383 eV per atom.

The space group is P4mm (No. 99) and the conventional cell measures 4.0899, 4.0899 and 7.3164 Å, with angles of 90.00, 90.00 and 90.00 degrees. The distinct sites, in fractional coordinates, are Pt at (0.0000, 0.0000, 0.0000), Pb at (0.5000, 0.5000, 0.8880), Br at (0.0000, 0.0000, 0.6643) and Br at (0.5000, 0.5000, 0.2690).

No. 6
Density functional theory data (GGA-PBE) for a relaxed PtPbBr crystal.

The value obtained for the energy above the most stable polymorph in this dataset is 0.000 eV/atom. The formation energy without anion corrections comes out at -138 meV per atom. Its crystal system is trigonal. Its total energy is -3.946 eV per atom.

The space group is P3m1 (No. 156) and the conventional cell measures 4.0986, 4.0986 and 5.4479 Å, with angles of 90.00, 90.00 and 120.00 degrees. The distinct sites, in fractional coordinates, are Pt at (0.0000, 0.0000, 0.0000), Pb at (0.3333, 0.6667, 0.7500) and Br at (0.6667, 0.3333, 0.2821).

No. 7
Density functional theory data (GGA-PBE) for a relaxed PtPbBr2 crystal.

The value obtained for the energy above the most stable polymorph in this dataset is 0.474 eV/atom. The formation energy without anion corrections comes out at 181 meV per atom. Its crystal system is cubic. Its total energy is -3.093 eV per atom.

The space group is Fm-3m (No. 225) and the conventional cell measures 7.2949, 7.2949 and 7.2949 Å, with angles of 90.00, 90.00 and 90.00 degrees. The distinct sites, in fractional coordinates, are Pt at (0.0000, 0.0000, 0.0000), Pb at (0.0000, 0.0000, 0.5000) and Br at (0.2500, 0.2500, 0.2500).

No. 8
Density functional theory data (GGA-PBE) for a relaxed PtPb4Br crystal.

The formation energy without anion corrections comes out at 403 meV per atom. Its crystal system is cubic. Its total energy is -3.355 eV per atom.

The space group is F-43m (No. 216) and the conventional cell measures 8.9673, 8.9673 and 8.9673 Å, with angles of 90.00, 90.00 and 90.00 degrees. The distinct sites, in fractional coordinates, are Pt at (0.0000, 0.0000, 0.0000), Pb at (0.1259, 0.1259, 0.3741) and Br at (0.2500, 0.2500, 0.7500).

No. 9
Density functional theory data (GGA-PBE) for a relaxed PtPb2Br8 crystal.

The formation energy without anion corrections comes out at -581 meV per atom. Its crystal system is monoclinic. Its total energy is -3.021 eV per atom.

The space group is C2/m (No. 12) and the conventional cell measures 15.0845, 6.8757 and 7.4889 Å, with angles of 90.00, 91.13 and 90.00 degrees. The distinct sites, in fractional coordinates, are Pt at (0.0000, 0.0000, 0.0000), Pb at (0.1365, 0.0000, 0.5386), Br at (0.0259, 0.2479, 0.2396), Br at (0.1634, 0.0000, 0.9412) and Br at (0.1827, 0.5000, 0.5617).

No. 10
Density functional theory data (GGA-PBE) for a relaxed PtPbBr2 crystal.

The value obtained for the energy above the most stable polymorph in this dataset is 0.048 eV/atom. The formation energy without anion corrections comes out at -246 meV per atom. Its crystal system is trigonal. Its total energy is -3.520 eV per atom.

The space group is R3m (No. 160, hexagonal axes) and the conventional cell measures 4.1135, 4.1135 and 23.9199 Å, with angles of 90.00, 90.00 and 120.00 degrees. The distinct sites, in fractional coordinates, are Pt at (0.0000, 0.0000, 0.0000), Pb at (0.0000, 0.0000, 0.7235), Br at (0.0000, 0.0000, 0.2776) and Br at (0.0000, 0.0000, 0.4752).

No. 11
Density functional theory data (GGA-PBE) for a relaxed PtPbBr2 crystal.

The value obtained for the energy above the most stable polymorph in this dataset is 0.499 eV/atom. The formation energy without anion corrections comes out at 205 meV per atom. Its crystal system is tetragonal. Its total energy is -3.068 eV per atom.

The space group is P4/mmm (No. 123) and the conventional cell measures 4.8983, 4.8983 and 4.0544 Å, with angles of 90.00, 90.00 and 90.00 degrees. The distinct sites, in fractional coordinates, are Pt at (0.0000, 0.0000, 0.0000), Pb at (0.5000, 0.5000, 0.0000) and Br at (0.0000, 0.5000, 0.5000).

No. 12
Density functional theory data (GGA-PBE) for a relaxed PtPbBr2 crystal.

The value obtained for the energy above the most stable polymorph in this dataset is 0.426 eV/atom. The formation energy without anion corrections comes out at 133 meV per atom. Its crystal system is tetragonal. Its total energy is -3.141 eV per atom.

The space group is I-4m2 (No. 119) and the conventional cell measures 4.1941, 4.1941 and 11.3597 Å, with angles of 90.00, 90.00 and 90.00 degrees. The distinct sites, in fractional coordinates, are Pt at (0.0000, 0.0000, 0.0000), Pb at (0.0000, 0.5000, 0.2500), Br at (0.0000, 0.0000, 0.5000) and Br at (0.0000, 0.5000, 0.7500).

No. 13
Density functional theory data (GGA-PBE) for a relaxed PtPbBr2 crystal.

The value obtained for the energy above the most stable polymorph in this dataset is 0.368 eV/atom. The formation energy without anion corrections comes out at 74 meV per atom. Its crystal system is monoclinic. Its total energy is -3.200 eV per atom.

The space group is C2/m (No. 12) and the conventional cell measures 6.6056, 8.8284 and 4.9797 Å, with angles of 90.00, 131.27 and 90.00 degrees. The distinct sites, in fractional coordinates, are Pt at (0.0000, 0.0000, 0.0000), Pb at (0.0000, 0.5000, 0.0000) and Br at (0.2500, 0.2500, 0.5000).

No. 14
Density functional theory data (GGA-PBE) for a relaxed PtPbBr2 crystal.

The value obtained for the energy above the most stable polymorph in this dataset is 0.494 eV/atom. The formation energy without anion corrections comes out at 200 meV per atom. Its crystal system is cubic. Its total energy is -3.074 eV per atom.

The space group is F-43m (No. 216) and the conventional cell measures 7.2602, 7.2602 and 7.2602 Å, with angles of 90.00, 90.00 and 90.00 degrees. The distinct sites, in fractional coordinates, are Pt at (0.0000, 0.0000, 0.0000), Pb at (0.2500, 0.2500, 0.7500), Br at (0.0000, 0.0000, 0.5000) and Br at (0.2500, 0.2500, 0.2500).

No. 15
Density functional theory data (GGA-PBE) for a relaxed PtPbBr6 crystal.

The value obtained for the energy above the most stable polymorph in this dataset is 0.000 eV/atom. The formation energy without anion corrections comes out at -500 meV per atom. Its crystal system is monoclinic. Its total energy is -2.974 eV per atom.

The space group is C2/c (No. 15) and the conventional cell measures 11.4164, 8.4836 and 10.7500 Å, with angles of 90.00, 90.63 and 90.00 degrees. The distinct sites, in fractional coordinates, are Pt at (0.2500, 0.2500, 0.0000), Pb at (0.0000, 0.0107, 0.2500), Br at (0.0699, 0.3241, 0.1175), Br at (0.1432, 0.2994, 0.8001) and Br at (0.1765, 0.0291, 0.4978).

No. 16
Density functional theory data (GGA-PBE) for a relaxed Pt4PbBr crystal.

The formation energy without anion corrections comes out at 182 meV per atom. Its crystal system is cubic. Its total energy is -4.742 eV per atom.

The space group is F-43m (No. 216) and the conventional cell measures 7.7624, 7.7624 and 7.7624 Å, with angles of 90.00, 90.00 and 90.00 degrees. The distinct sites, in fractional coordinates, are Pt at (0.1253, 0.1253, 0.1253), Pb at (0.0000, 0.0000, 0.5000) and Br at (0.2500, 0.2500, 0.7500).

No. 17
Density functional theory data (GGA-PBE) for a relaxed PtPbBr4 crystal.

The value obtained for the energy above the most stable polymorph in this dataset is 1.281 eV/atom. The formation energy without anion corrections comes out at 771 meV per atom. Its crystal system is cubic. Its total energy is -1.969 eV per atom.

The space group is F-43m (No. 216) and the conventional cell measures 8.7090, 8.7090 and 8.7090 Å, with angles of 90.00, 90.00 and 90.00 degrees. The distinct sites, in fractional coordinates, are Pt at (0.0000, 0.0000, 0.0000), Pb at (0.2500, 0.2500, 0.2500) and Br at (0.1263, 0.1263, 0.6263).

No. 18
Density functional theory data (GGA-PBE) for a relaxed PtPb3Br crystal.

The value obtained for the energy above the most stable polymorph in this dataset is 0.881 eV/atom. The formation energy without anion corrections comes out at 846 meV per atom. Its crystal system is cubic. Its total energy is -2.922 eV per atom.

The space group is Pm-3m (No. 221) and the conventional cell measures 5.5866, 5.5866 and 5.5866 Å, with angles of 90.00, 90.00 and 90.00 degrees. The distinct sites, in fractional coordinates, are Pt at (0.0000, 0.0000, 0.0000), Pb at (0.0000, 0.5000, 0.5000) and Br at (0.5000, 0.5000, 0.5000).

No. 19
Density functional theory data (GGA-PBE) for a relaxed PtPbBr2 crystal.

The value obtained for the energy above the most stable polymorph in this dataset is 0.414 eV/atom. The formation energy without anion corrections comes out at 121 meV per atom. Its crystal system is orthorhombic. Its total energy is -3.153 eV per atom.

The space group is Pmmm (No. 47) and the conventional cell measures 3.7505, 4.5310 and 5.9065 Å, with angles of 90.00, 90.00 and 90.00 degrees. The distinct sites, in fractional coordinates, are Pt at (0.0000, 0.0000, 0.0000), Pb at (0.5000, 0.0000, 0.5000), Br at (0.0000, 0.5000, 0.5000) and Br at (0.5000, 0.5000, 0.0000).

No. 20
Density functional theory data (GGA-PBE) for a relaxed PtPbBr6 crystal.

The value obtained for the energy above the most stable polymorph in this dataset is 0.056 eV/atom. The formation energy without anion corrections comes out at -444 meV per atom. Its crystal system is trigonal. Its total energy is -2.917 eV per atom.

The space group is R-3 (No. 148, hexagonal axes) and the conventional cell measures 6.7947, 6.7947 and 18.9308 Å, with angles of 90.00, 90.00 and 120.00 degrees. The distinct sites, in fractional coordinates, are Pt at (0.0000, 0.0000, 0.0000), Pb at (0.0000, 0.0000, 0.5000) and Br at (0.0117, 0.6253, 0.5908).